(1)
{
  "formula": "PPb2W",
  "functional": "SCAN",
  "state": "PBEsol geometry",
  "dos_at_fermi_per_ev_atom": 0.563,
  "ef_ev_per_fu": 3.37,
  "m_tot_mub_per_fu": 0.00,
  "total_energy_ev_per_cell": -228.3,
  "crystal_system": "monoclinic",
  "vol_a3_per_cell": 94,
  "lattice_angstrom": [[-1.778, -3.135, 1.791], [-0.153, -2.384, -4.325], [4.385, -1.649, 0.754]],
  "species": ["W", "P", "Pb", "Pb"],
  "fractional_positions": [[0.500, 0.500, 0.000], [0.500, 0.500, 0.500], [0.778, 0.000, 0.243], [0.222, 0.000, 0.757]]
}

---

(2)
{
  "formula": "La3TlFe",
  "functional": "SCAN",
  "state": "PBEsol geometry",
  "dos_at_fermi_per_ev_atom": 1.053,
  "ef_ev_per_fu": -1.17,
  "m_tot_mub_per_fu": 0.00,
  "total_energy_ev_per_cell": -221.0,
  "crystal_system": "cubic",
  "vol_a3_per_cell": 138,
  "lattice_angstrom": [[-3.806, 2.149, -2.768], [-3.013, -4.093, 0.965], [-1.789, 2.322, 4.262]],
  "species": ["Tl", "La", "La", "La", "Fe"],
  "fractional_positions": [[0.500, 0.500, 0.500], [0.000, 0.000, 0.500], [0.500, 0.000, 0.000], [0.000, 0.500, 0.000], [0.000, 0.000, 0.000]]
}

---

(3)
{
  "formula": "Ca3ReAg",
  "functional": "SCAN",
  "state": "PBEsol geometry",
  "dos_at_fermi_per_ev_atom": 0.749,
  "ef_ev_per_fu": 3.99,
  "m_tot_mub_per_fu": 1.05,
  "total_energy_ev_per_cell": -127.5,
  "crystal_system": "cubic",
  "vol_a3_per_cell": 155,
  "lattice_angstrom": [[-3.103, 3.554, -2.566], [-4.040, -3.539, -0.017], [-1.702, 1.920, 4.718]],
  "species": ["Ag", "Ca", "Ca", "Ca", "Re"],
  "fractional_positions": [[0.500, 0.500, 0.500], [0.500, 0.000, 0.000], [0.000, 0.500, 0.000], [0.000, 0.000, 0.500], [0.000, 0.000, 0.000]]
}

---

(4)
{
  "formula": "KNbNF2",
  "functional": "SCAN",
  "state": "PBEsol geometry",
  "relative_energy_ev_per_atom": 0.000,
  "dos_at_fermi_per_ev_atom": 0.139,
  "m_tot_mub_per_fu": 1.00,
  "total_energy_ev_per_cell": -67.8,
  "crystal_system": "tetragonal",
  "vol_a3_per_cell": 74,
  "lattice_angstrom": [[-3.592, 1.293, -1.203], [-1.638, -0.974, 3.842], [0.949, 3.940, 1.403]],
  "species": ["F", "F", "N", "K", "Nb"],
  "fractional_positions": [[0.000, 0.000, 0.500], [0.000, 0.500, 0.000], [0.500, 0.000, 0.000], [0.500, 0.500, 0.500], [0.000, 0.000, 0.000]]
}

---

(5)
{
  "formula": "CaNi2P4O14",
  "functional": "SCAN",
  "state": "PBEsol geometry",
  "dos_at_fermi_per_ev_atom": 0.056,
  "m_tot_mub_per_fu": 1.99,
  "total_energy_ev_per_cell": -217.6,
  "crystal_system": "triclinic",
  "vol_a3_per_cell": 237,
  "lattice_angstrom": [[6.080, 0.005, 0.070], [0.755, 6.033, 0.154], [0.341, 2.681, 6.536]],
  "species": ["O", "O", "O", "O", "O", "O", "O", "O", "O", "O", "O", "O", "O", "O", "P", "P", "P", "P", "Ni", "Ni", "Ca"],
  "fractional_positions": [[0.800, 0.680, 0.478], [0.606, 0.217, 0.479], [0.582, 0.395, 0.777], [0.941, 0.603, 0.165], [0.193, 0.323, 0.508], [0.330, 0.038, 0.864], [0.050, 0.414, 0.810], [0.658, 0.965, 0.124], [0.658, 0.761, 0.800], [0.047, 0.964, 0.228], [0.952, 0.038, 0.767], [0.391, 0.793, 0.526], [0.400, 0.616, 0.214], [0.341, 0.250, 0.193], [0.608, 0.661, 0.639], [0.124, 0.214, 0.745], [0.399, 0.344, 0.354], [0.871, 0.799, 0.237], [0.360, 0.928, 0.217], [0.635, 0.080, 0.781], [0.199, 0.645, 0.919]]
}

---

(6)
{
  "formula": "Zn2IrCl",
  "functional": "SCAN",
  "state": "PBEsol geometry",
  "dos_at_fermi_per_ev_atom": 0.170,
  "m_tot_mub_per_fu": 0.00,
  "total_energy_ev_per_cell": -104.0,
  "crystal_system": "cubic",
  "vol_a3_per_cell": 59,
  "lattice_angstrom": [[4.371, 0.000, 0.000], [2.185, 3.785, 0.000], [2.185, 1.262, 3.569]],
  "species": ["Cl", "Ir", "Zn", "Zn"],
  "fractional_positions": [[0.500, 0.500, 0.500], [0.250, 0.250, 0.250], [0.750, 0.750, 0.750], [0.000, 0.000, 0.000]]
}

---

(7)
{
  "formula": "NbAl3Fe",
  "functional": "SCAN",
  "state": "PBEsol geometry",
  "dos_at_fermi_per_ev_atom": 0.686,
  "ef_ev_per_fu": 1.33,
  "m_tot_mub_per_fu": 2.99,
  "total_energy_ev_per_cell": -73.2,
  "crystal_system": "cubic",
  "vol_a3_per_cell": 81,
  "lattice_angstrom": [[4.336, 0.000, 0.000], [0.000, 4.336, 0.000], [0.000, 0.000, 4.336]],
  "species": ["Al", "Al", "Al", "Nb", "Fe"],
  "fractional_positions": [[0.000, 0.000, 0.500], [0.000, 0.500, 0.000], [0.500, 0.000, 0.000], [0.500, 0.500, 0.500], [0.000, 0.000, 0.000]]
}

---

(8)
{
  "formula": "LiMgTc2Ge",
  "functional": "SCAN",
  "state": "PBEsol geometry",
  "dos_at_fermi_per_ev_atom": 0.677,
  "ef_ev_per_fu": 8.06,
  "m_tot_mub_per_fu": 4.97,
  "total_energy_ev_per_cell": -88.5,
  "crystal_system": "tetragonal",
  "vol_a3_per_cell": 101,
  "lattice_angstrom": [[-0.786, 2.571, -3.791], [-2.550, -3.441, -1.805], [-3.830, 1.786, 2.006]],
  "species": ["Ge", "Tc", "Tc", "Mg", "Li"],
  "fractional_positions": [[0.000, 0.000, 0.500], [0.000, 0.500, 0.000], [0.500, 0.000, 0.000], [0.000, 0.000, 0.000], [0.500, 0.500, 0.500]]
}

---

(9)
{
  "formula": "Bi3ClO",
  "functional": "SCAN",
  "state": "PBEsol geometry",
  "dos_at_fermi_per_ev_atom": 1.404,
  "m_tot_mub_per_fu": 1.75,
  "total_energy_ev_per_cell": -243.8,
  "crystal_system": "cubic",
  "vol_a3_per_cell": 158,
  "lattice_angstrom": [[5.411, 0.000, 0.000], [0.000, 5.411, 0.000], [0.000, 0.000, 5.411]],
  "species": ["Bi", "Bi", "Bi", "O", "Cl"],
  "fractional_positions": [[0.500, 0.000, 0.000], [0.000, 0.500, 0.000], [0.000, 0.000, 0.500], [0.500, 0.500, 0.500], [0.000, 0.000, 0.000]]
}

---

(10)
{
  "formula": "LaZnHg4",
  "functional": "SCAN",
  "state": "PBEsol geometry",
  "dos_at_fermi_per_ev_atom": 0.492,
  "ef_ev_per_fu": -0.76,
  "m_tot_mub_per_fu": 0.00,
  "total_energy_ev_per_cell": -330.0,
  "crystal_system": "cubic",
  "vol_a3_per_cell": 143,
  "lattice_angstrom": [[-1.175, 2.076, -5.369], [1.382, -3.177, -4.745], [-4.249, -2.452, -3.233]],
  "species": ["Hg", "Hg", "Hg", "Hg", "Zn", "La"],
  "fractional_positions": [[0.375, 0.876, 0.375], [0.876, 0.375, 0.375], [0.375, 0.375, 0.876], [0.375, 0.375, 0.375], [0.000, 0.000, 0.000], [0.750, 0.750, 0.750]]
}

---

(11)
{
  "formula": "La2ZrBr",
  "functional": "SCAN",
  "state": "PBEsol geometry",
  "dos_at_fermi_per_ev_atom": 0.930,
  "m_tot_mub_per_fu": 0.00,
  "total_energy_ev_per_cell": -138.5,
  "crystal_system": "trigonal",
  "vol_a3_per_cell": 113,
  "lattice_angstrom": [[3.555, 0.000, 0.000], [1.778, 3.079, 0.000], [1.778, 1.026, 10.297]],
  "species": ["La", "La", "Br", "Zr"],
  "fractional_positions": [[0.747, 0.747, 0.759], [0.253, 0.253, 0.241], [0.000, 0.000, 0.000], [0.500, 0.500, 0.500]]
}

---

(12)
{
  "formula": "LaMn2Co",
  "functional": "SCAN",
  "state": "PBEsol geometry",
  "dos_at_fermi_per_ev_atom": 0.828,
  "ef_ev_per_fu": 0.30,
  "m_tot_mub_per_fu": 0.60,
  "total_energy_ev_per_cell": -96.6,
  "crystal_system": "tetragonal",
  "vol_a3_per_cell": 62,
  "lattice_angstrom": [[2.987, 0.000, 0.034], [0.000, 2.986, 0.000], [-0.077, 0.000, 6.994]],
  "species": ["La", "Mn", "Mn", "Co"],
  "fractional_positions": [[0.500, 0.500, 0.732], [0.500, 0.500, 0.249], [0.000, 0.000, 0.082], [0.000, 0.000, 0.437]]
}